Below is a relaxed structure of Zr5C4N, with properties calculated at the GGA-PBE level.

Properties
DOS(E_F) (states/eV per cell): 2.722
Calculated total energy (eV per cell): -98.1
Volume (Å³ per cell): 130.2
E_form (uncorrected) (eV/atom): -1.014

```
data_Zr5C4N
_symmetry_space_group_name_H-M 'P 1'
_symmetry_Int_Tables_number 1
_symmetry_space_group_name_Hall 'P 1'
_cell_length_a 3.331
_cell_length_b 4.691
_cell_length_c 8.813
_cell_angle_alpha 105.44
_cell_angle_beta 100.89
_cell_angle_gamma 90.00
loop_
_atom_site_label
_atom_site_fract_x
_atom_site_fract_y
_atom_site_fract_z
Zr1 0.601 0.101 0.202
Zr2 0.800 0.300 0.600
Zr3 0.200 0.700 0.400
Zr4 0.000 0.500 0.000
Zr5 0.399 0.899 0.798
C1 0.401 0.401 0.802
C2 0.802 0.802 0.604
C3 0.198 0.198 0.396
C4 0.599 0.599 0.198
N1 0.000 0.000 0.000
```